(1)
# NaMgH4SO6F (PBEsol, optimized geometry)
data_NaMgH4SO6F
_chemical_formula_sum 'Na2 Mg2 H8 S2 O12 F2'
_space_group_name_H-M_alt 'P 1'
_space_group_IT_number 1
_space_group_name_Hall 'P 1'
_cell_length_a 5.6869
_cell_length_b 7.2216
_cell_length_c 7.1114
_cell_angle_alpha 90.00
_cell_angle_beta 113.01
_cell_angle_gamma 90.00
loop_
_atom_site_label
_atom_site_fract_x
_atom_site_fract_y
_atom_site_fract_z
O1 0.3283 0.5426 0.2613
O2 0.6524 0.2500 0.4081
O3 0.7928 0.0826 0.1757
O4 0.1043 0.2500 0.4651
O5 0.8957 0.7500 0.5349
O6 0.6717 0.4574 0.7387
O7 0.2072 0.9174 0.8243
O8 0.7928 0.4174 0.1757
O9 0.3283 0.9574 0.2613
O10 0.3476 0.7500 0.5919
O11 0.6717 0.0426 0.7387
O12 0.2072 0.5826 0.8243
H1 0.5711 0.9263 0.6898
H2 0.6953 0.4015 0.6196
H3 0.5711 0.5737 0.6898
H4 0.4289 0.0737 0.3102
H5 0.3047 0.9015 0.3804
H6 0.6953 0.0985 0.6196
H7 0.3047 0.5985 0.3804
H8 0.4289 0.4263 0.3102
F1 0.1188 0.2500 0.9823
F2 0.8812 0.7500 0.0177
Na1 0.6222 0.7500 0.1911
Na2 0.3778 0.2500 0.8089
S1 0.8464 0.2500 0.3081
S2 0.1536 0.7500 0.6919
Mg1 0.0000 0.5000 0.0000
Mg2 0.0000 0.0000 0.0000
# DFT total energy   -156.888 eV/cell
# Space-group type   No. 11
# Magnetization   0.000 μB per atom



(2)
# NaLi3Tl (PBEsol, optimized geometry)
data_NaLi3Tl
_chemical_formula_sum 'Na1 Li3 Tl1'
_space_group_name_H-M_alt 'P 1'
_space_group_IT_number 1
_space_group_name_Hall 'P 1'
_cell_length_a 5.2217
_cell_length_b 5.2217
_cell_length_c 5.2217
_cell_angle_alpha 90.00
_cell_angle_beta 90.00
_cell_angle_gamma 90.00
loop_
_atom_site_label
_atom_site_fract_x
_atom_site_fract_y
_atom_site_fract_z
Na1 0.5000 0.5000 0.5000
Tl1 0.0000 0.0000 0.0000
Li1 0.5000 0.0000 0.0000
Li2 0.0000 0.0000 0.5000
Li3 0.0000 0.5000 0.0000
# Energy of formation   0.0554 eV/atom
# Space-group type   No. 221
# Magnetization   0.000 μB per atom



(3)
# ZrTe (PBEsol, optimized geometry)
data_ZrTe
_chemical_formula_sum 'Zr4 Te4'
_space_group_name_H-M_alt 'P 1'
_space_group_IT_number 1
_space_group_name_Hall 'P 1'
_cell_length_a 3.7319
_cell_length_b 6.9379
_cell_length_c 7.3323
_cell_angle_alpha 90.00
_cell_angle_beta 90.00
_cell_angle_gamma 90.00
loop_
_atom_site_label
_atom_site_fract_x
_atom_site_fract_y
_atom_site_fract_z
Te1 0.2500 0.0714 0.7925
Te2 0.2500 0.4286 0.2925
Te3 0.7500 0.5714 0.7075
Te4 0.7500 0.9286 0.2075
Zr1 0.7500 0.1896 0.5086
Zr2 0.7500 0.3104 0.0086
Zr3 0.2500 0.6896 0.9914
Zr4 0.2500 0.8104 0.4914
# Energy relative to the elements, uncorrected   -0.945 eV/atom
# Space-group type   No. 62
# Magnetization   0.000 μB per atom



(4)
# DyAgW2O8 (PBEsol, optimized geometry)
data_DyAgW2O8
_chemical_formula_sum 'Dy2 Ag2 W4 O16'
_space_group_name_H-M_alt 'P 1'
_space_group_IT_number 1
_space_group_name_Hall 'P 1'
_cell_length_a 7.1583
_cell_length_b 7.2775
_cell_length_c 7.2775
_cell_angle_alpha 94.58
_cell_angle_beta 114.29
_cell_angle_gamma 114.29
loop_
_atom_site_label
_atom_site_fract_x
_atom_site_fract_y
_atom_site_fract_z
O1 0.2413 0.8967 0.6489
O2 0.6485 0.2167 0.6838
O3 0.3515 0.7833 0.3162
O4 0.1408 0.4458 0.4458
O5 0.7587 0.1033 0.3511
O6 0.2413 0.6489 0.8967
O7 0.0920 0.3017 0.0392
O8 0.9080 0.9608 0.6983
O9 0.0920 0.0392 0.3017
O10 0.6485 0.6838 0.2167
O11 0.3515 0.3162 0.7833
O12 0.9080 0.6983 0.9608
O13 0.8592 0.5542 0.5542
O14 0.7587 0.3511 0.1033
O15 0.6615 0.9768 0.9768
O16 0.3385 0.0232 0.0232
Ag1 0.4803 0.3140 0.3140
Ag2 0.5197 0.6860 0.6860
Dy1 0.0000 0.6933 0.3067
Dy2 0.0000 0.3067 0.6933
W1 0.9753 0.2099 0.2099
W2 0.5000 0.8348 0.1652
W3 0.0247 0.7901 0.7901
W4 0.5000 0.1652 0.8348
# Energy relative to the elements, uncorrected   -2.247 eV/atom
# Space-group type   No. 12
# Magnetization   0.000 μB per atom



(5)
# CsGePb3 (PBEsol, optimized geometry)
data_CsGePb3
_chemical_formula_sum 'Cs1 Ge1 Pb3'
_space_group_name_H-M_alt 'P 1'
_space_group_IT_number 1
_space_group_name_Hall 'P 1'
_cell_length_a 5.6747
_cell_length_b 5.6747
_cell_length_c 5.6747
_cell_angle_alpha 90.00
_cell_angle_beta 90.00
_cell_angle_gamma 90.00
loop_
_atom_site_label
_atom_site_fract_x
_atom_site_fract_y
_atom_site_fract_z
Pb1 0.5000 0.0000 0.0000
Pb2 0.0000 0.0000 0.5000
Pb3 0.0000 0.5000 0.0000
Ge1 0.0000 0.0000 0.0000
Cs1 0.5000 0.5000 0.5000
# Energy of formation   0.2301 eV/atom
# Space-group type   No. 221
# Magnetization   0.000 μB per atom



(6)
# TiIn3Hg (PBEsol, optimized geometry)
data_TiIn3Hg
_chemical_formula_sum 'Ti1 In3 Hg1'
_space_group_name_H-M_alt 'P 1'
_space_group_IT_number 1
_space_group_name_Hall 'P 1'
_cell_length_a 5.3303
_cell_length_b 5.3303
_cell_length_c 5.3303
_cell_angle_alpha 90.00
_cell_angle_beta 90.00
_cell_angle_gamma 90.00
loop_
_atom_site_label
_atom_site_fract_x
_atom_site_fract_y
_atom_site_fract_z
In1 0.0000 0.5000 0.0000
In2 0.5000 0.0000 0.0000
In3 0.0000 0.0000 0.5000
Hg1 0.0000 0.0000 0.0000
Ti1 0.5000 0.5000 0.5000
# Energy of formation   0.8808 eV/atom
# Space-group type   No. 221
# Magnetization   0.479 μB per atom



(7)
# Y2ZrTlC (PBEsol, optimized geometry)
data_Y2ZrTlC
_chemical_formula_sum 'Y2 Zr1 Tl1 C1'
_space_group_name_H-M_alt 'P 1'
_space_group_IT_number 1
_space_group_name_Hall 'P 1'
_cell_length_a 4.7662
_cell_length_b 4.7662
_cell_length_c 4.9000
_cell_angle_alpha 90.00
_cell_angle_beta 90.00
_cell_angle_gamma 90.00
loop_
_atom_site_label
_atom_site_fract_x
_atom_site_fract_y
_atom_site_fract_z
Tl1 0.0000 0.0000 0.5000
Y1 0.5000 0.0000 0.0000
Y2 0.0000 0.5000 0.0000
C1 0.0000 0.0000 0.0000
Zr1 0.5000 0.5000 0.5000
# Energy of formation   0.2676 eV/atom
# Space-group type   No. 123
# Magnetization   0.247 μB per atom



(8)
# LaCuP2 (PBEsol, optimized geometry)
data_LaCuP2
_chemical_formula_sum 'La1 Cu1 P2'
_space_group_name_H-M_alt 'P 1'
_space_group_IT_number 1
_space_group_name_Hall 'P 1'
_cell_length_a 3.9555
_cell_length_b 4.8318
_cell_length_c 4.8225
_cell_angle_alpha 74.91
_cell_angle_beta 65.79
_cell_angle_gamma 65.84
loop_
_atom_site_label
_atom_site_fract_x
_atom_site_fract_y
_atom_site_fract_z
P1 0.8246 0.1752 0.1755
P2 0.1754 0.8248 0.8245
La1 0.0000 0.5000 0.5000
Cu1 0.5000 0.0000 0.0000
# Energy of formation   -0.7218 eV/atom
# Space-group type   No. 71
# Magnetization   0.000 μB per atom